Entry 1:
Crystalline Er2Ni4Ge3Pd at its relaxed geometry, computed with PBE-GGA.

```
Er2Ni4Ge3Pd
1.0
3.932 0.000 0.000
0.000 3.932 0.000
0.000 0.000 10.376
Er Ni Ge Pd
2 4 3 1
Cartesian
0.000 1.966 2.587
1.966 0.000 7.789
0.000 0.000 5.188
0.000 1.966 8.830
1.966 0.000 1.546
1.966 1.966 5.188
0.000 0.000 0.000
0.000 1.966 6.522
1.966 0.000 3.855
1.966 1.966 0.000
```



Entry 2:
Crystalline ErNiGePd at its relaxed geometry, computed with PBE-GGA.

```
ErNiGePd
1.0
0.000 3.219 3.219
3.219 0.000 3.219
3.219 3.219 0.000
Er Ni Ge Pd
1 1 1 1
Cartesian
0.000 0.000 0.000
4.829 4.829 4.829
3.219 3.219 3.219
1.610 1.610 1.610
```



Entry 3:
Crystalline ErNiGe2Pd at its relaxed geometry, computed with PBE-GGA.

```
ErNiGe2Pd
1.0
-2.076 2.076 5.027
2.076 -2.076 5.027
2.076 2.076 -5.027
Er Ni Ge Pd
1 1 2 1
Cartesian
0.000 0.000 0.000
0.000 2.076 2.513
0.000 0.000 3.800
0.000 0.000 6.254
2.076 0.000 2.513
```



Entry 4:
Crystalline Er2Ni3Ge4Pd at its relaxed geometry, computed with PBE-GGA.

```
Er2Ni3Ge4Pd
1.0
4.105 0.000 0.000
0.000 4.105 0.000
0.000 0.000 9.798
Er Ni Ge Pd
2 3 4 1
Cartesian
0.000 2.052 2.407
2.052 0.000 7.391
0.000 2.052 8.593
2.052 0.000 1.204
2.052 2.052 4.899
0.000 0.000 0.000
0.000 2.052 6.283
2.052 0.000 3.515
2.052 2.052 0.000
0.000 0.000 4.899
```



no.,formation enthalpy at 0 K (eV/atom),electronic total energy (eV/atom)
1,-0.63,-5.7568
2,-0.57,-5.6116
3,-0.69,-5.6481
4,-0.70,-5.7094